No. 1
KRbTeI: relaxed, PBE.

Computed properties:
Energy relative to the elements, uncorrected in meV/atom: -900.5
Size of the total moment in μB/cell: 1.04
E in eV per cell: -10.36
DOS at the Fermi energy in states/eV per cell: 4.825
V in Å³ per atom: 42.123

a b c (Å): 6.200 6.200 6.200
angles (deg): 60.00 60.00 60.00
Atoms (fractional coordinates):
I 0.250 0.250 0.250
K 0.000 0.000 0.000
Te 0.750 0.750 0.750
Rb 0.500 0.500 0.500

No. 2
KRb2TeI6: relaxed, PBE.

Computed properties:
Energy relative to the elements, uncorrected in meV/atom: -813.7
Size of the total moment in μB/cell: 1.00
E in eV per cell: -23.61
DOS at the Fermi energy in states/eV per cell: 0.189
V in Å³ per atom: 53.823

a b c (Å): 8.891 8.891 9.268
angles (deg): 61.34 61.34 90.00
Atoms (fractional coordinates):
I 0.253 0.253 0.494
I 0.747 0.747 0.506
I 0.233 0.233 0.000
I 0.767 0.767 0.000
I 0.767 0.233 0.000
I 0.233 0.767 0.000
K 0.500 0.500 0.000
Te 0.000 0.000 0.000
Rb 0.750 0.250 0.500
Rb 0.250 0.750 0.500

No. 3
KRbThI6: relaxed, PBE.

Computed properties:
Energy relative to the elements, uncorrected in meV/atom: -1364.1
Size of the total moment in μB/cell: 0.00
E in eV per cell: -62.12
DOS at the Fermi energy in states/eV per cell: 0.000
V in Å³ per atom: 55.833

a b c (Å): 8.758 8.758 15.131
angles (deg): 90.00 90.00 120.00
Atoms (fractional coordinates):
K 0.333 0.667 0.250
K 0.667 0.333 0.750
Rb 0.000 0.000 0.000
Rb 0.000 0.000 0.500
Th 0.667 0.333 0.250
Th 0.333 0.667 0.750
I 0.659 0.617 0.132
I 0.958 0.341 0.132
I 0.341 0.958 0.632
I 0.042 0.659 0.868
I 0.383 0.341 0.368
I 0.958 0.617 0.368
I 0.617 0.958 0.868
I 0.659 0.042 0.368
I 0.042 0.383 0.632
I 0.383 0.042 0.132
I 0.617 0.659 0.632
I 0.341 0.383 0.868

No. 4
K2RbTiI6: relaxed, PBE.

Computed properties:
Energy relative to the elements, uncorrected in meV/atom: -1148.3
Size of the total moment in μB/cell: 1.00
E in eV per cell: -31.84
DOS at the Fermi energy in states/eV per cell: 6.769
V in Å³ per atom: 47.473

a b c (Å): 8.611 8.611 8.909
angles (deg): 61.10 61.10 60.00
Atoms (fractional coordinates):
K 0.530 0.530 0.409
K 0.019 0.019 0.943
Rb 0.818 0.818 0.547
Ti 0.326 0.326 0.022
I 0.543 0.220 0.238
I 0.220 0.999 0.238
I 0.999 0.543 0.238
I 0.422 0.658 0.793
I 0.658 0.127 0.793
I 0.127 0.422 0.793

No. 5
KRbTi2I8: relaxed, PBE.

Computed properties:
Energy relative to the elements, uncorrected in meV/atom: -929.5
Size of the total moment in μB/cell: 2.00
E in eV per cell: -41.41
DOS at the Fermi energy in states/eV per cell: 13.049
V in Å³ per atom: 51.491

a b c (Å): 7.735 7.735 11.926
angles (deg): 90.00 90.00 120.00
Atoms (fractional coordinates):
K 0.000 0.000 0.500
Rb 0.000 0.000 0.000
Ti 0.667 0.333 0.226
Ti 0.333 0.667 0.774
I 0.333 0.667 0.994
I 0.338 0.331 0.292
I 0.669 0.007 0.292
I 0.667 0.333 0.006
I 0.331 0.993 0.708
I 0.662 0.669 0.708
I 0.007 0.338 0.708
I 0.993 0.662 0.292

No. 6
K3RbTl4I8: relaxed, PBE.

Computed properties:
Energy relative to the elements, uncorrected in meV/atom: -1071.7
Size of the total moment in μB/cell: 0.00
E in eV per cell: -43.27
DOS at the Fermi energy in states/eV per cell: 0.000
V in Å³ per atom: 46.171

a b c (Å): 10.135 10.159 10.136
angles (deg): 119.93 120.00 90.00
Atoms (fractional coordinates):
K 0.500 0.500 0.000
K 0.500 0.500 0.500
K 0.000 0.500 0.500
Rb 0.000 0.500 0.000
Tl 0.500 0.000 0.000
Tl 0.500 0.000 0.500
Tl 0.000 0.000 0.000
Tl 0.000 0.000 0.500
I 0.254 0.754 0.999
I 0.254 0.754 0.509
I 0.250 0.251 0.501
I 0.745 0.754 0.999
I 0.255 0.246 0.001
I 0.750 0.749 0.499
I 0.746 0.246 0.491
I 0.746 0.246 0.001